No. 1
Computed, not measured: a geometry-optimized K2Li3TiF12 structure at the GGA-PBE level of DFT.

```
K2Li3TiF12
1.0
3.483 2.011 6.157
-3.483 2.011 6.157
0.000 -4.022 6.157
K Li Ti F
2 3 1 12
direct
0.116 0.116 0.116
0.884 0.884 0.884
0.000 0.500 0.500
0.500 0.000 0.500
0.500 0.500 0.000
0.500 0.500 0.500
0.155 0.155 0.603
0.155 0.603 0.155
0.184 0.572 0.572
0.397 0.845 0.845
0.428 0.428 0.816
0.428 0.816 0.428
0.572 0.184 0.572
0.572 0.572 0.184
0.603 0.155 0.155
0.816 0.428 0.428
0.845 0.397 0.845
0.845 0.845 0.397
```

Computed properties:
- uncorrected formation energy (meV/atom) = -2489
- spin magnetization (μB per formula unit) = 3.0

---

No. 2
Computed, not measured: a geometry-optimized KLiTl2F4 structure at the GGA-PBE level of DFT.

```
KLiTl2F4
1.0
5.298 -5.247 0.000
5.298 5.247 0.000
-5.072 0.000 5.435
K Li Tl F
2 2 4 8
direct
0.000 0.000 0.000
0.000 0.000 0.500
0.000 0.500 0.000
0.500 0.000 0.500
0.000 0.500 0.500
0.500 0.000 0.000
0.500 0.500 0.000
0.500 0.500 0.500
0.179 0.304 0.990
0.234 0.743 0.996
0.257 0.766 0.504
0.304 0.179 0.490
0.696 0.821 0.510
0.743 0.234 0.496
0.766 0.257 0.004
0.821 0.696 0.010
```

Computed properties:
- uncorrected formation energy (meV/atom) = -2170
- spin magnetization (μB per formula unit) = 0.0

---

No. 3
Computed, not measured: a geometry-optimized KLiTlF3 structure at the GGA-PBE level of DFT.

```
KLiTlF3
1.0
7.477 -1.994 0.000
7.477 1.994 0.000
-2.219 0.000 7.196
K Li Tl F
2 2 2 6
direct
0.154 0.154 0.062
0.846 0.846 0.938
0.481 0.481 0.249
0.519 0.519 0.751
0.148 0.148 0.544
0.852 0.852 0.456
0.018 0.018 0.704
0.344 0.344 0.179
0.392 0.392 0.752
0.608 0.608 0.248
0.656 0.656 0.821
0.982 0.982 0.296
```

Computed properties:
- uncorrected formation energy (meV/atom) = -2397
- spin magnetization (μB per formula unit) = 0.0

---

No. 4
Computed, not measured: a geometry-optimized KLi2TlF8 structure at the GGA-PBE level of DFT.

```
KLi2TlF8
1.0
-3.531 3.531 3.852
3.531 -3.531 3.852
3.531 3.531 -3.852
K Li Tl F
1 2 1 8
direct
0.000 0.000 0.000
0.500 0.500 0.000
0.750 0.250 0.500
0.250 0.750 0.500
0.311 0.111 0.800
0.311 0.512 0.200
0.408 0.049 0.359
0.488 0.689 0.800
0.690 0.049 0.641
0.889 0.689 0.200
0.951 0.310 0.359
0.951 0.592 0.641
```

Computed properties:
- uncorrected formation energy (meV/atom) = -1974
- spin magnetization (μB per formula unit) = 2.0

---

In A^3/atom, the calculated volume values for the records above are, in order, 14.4, 18.9, 17.9, 16.0.
In hartree per atom, the calculated total energy values for the records above are, in order, -0.1696, -0.1497, -0.1554, -0.1407.